1.
Below is a relaxed structure of MnTc2Bi2, with properties calculated at the GGA-PBE level.

a b c (Å): 6.5611 6.5611 4.4859
angles (deg): 90.00 90.00 90.00
Space group P4/mbm (No. 127)
Asymmetric unit:
Mn1 0.0000 0.0000 0.0000 (multiplicity 2)
Tc1 0.1349 0.3651 0.0000 (multiplicity 4)
Bi1 0.1802 0.6802 0.5000 (multiplicity 4)

Results
E_form: 0.7793 eV per atom
Spin magnetization: 0.00 μB per formula unit
D(E_F): 1.699 states/eV per atom
Energy above the lowest structure with this stoichiometry: 0 meV/atom
Electronic total energy: -67.53 eV for the cell shown

=====

2.
Below is a relaxed structure of MnTc2Bi2, with properties calculated at the GGA-PBE level.

a b c (Å): 5.4604 5.4604 7.2130
angles (deg): 90.00 90.00 90.00
Space group I4/mmm (No. 139)
Asymmetric unit:
Mn1 0.0000 0.0000 0.0000 (multiplicity 2)
Tc1 0.0000 0.0000 0.3416 (multiplicity 4)
Bi1 0.0000 0.5000 0.2500 (multiplicity 4)

Results
E_form: 1.1718 eV per atom
Spin magnetization: 0.69 μB per formula unit
D(E_F): 1.682 states/eV per atom
Energy above the lowest structure with this stoichiometry: 392 meV/atom
Electronic total energy: -63.61 eV for the cell shown

=====

3.
Below is a relaxed structure of Mn2BiTe, with properties calculated at the GGA-PBE level.

a b c (Å): 6.4996 6.4996 12.2329
angles (deg): 90.00 90.00 90.00
Space group I-42d (No. 122)
Asymmetric unit:
Mn1 0.2435 0.2500 0.1250 (multiplicity 8)
Bi1 0.0000 0.0000 0.5000 (multiplicity 4)
Te1 0.0000 0.0000 0.0000 (multiplicity 4)

Results
Spin magnetization: 9.00 μB per formula unit
Formation energy from raw total energies: 303 meV per atom
D(E_F): 0.148 states/eV per atom
Energy above the lowest structure with this stoichiometry: 0 meV/atom
Electronic total energy: -96.60 eV for the cell shown

=====

4.
Below is a relaxed structure of Mn2BiTe4, with properties calculated at the GGA-PBE level.

a b c (Å): 8.3270 8.7138 11.8297
angles (deg): 90.00 90.00 90.00
Space group Imma (No. 74)
Asymmetric unit:
Mn1 0.0000 0.0000 0.0000 (multiplicity 4)
Mn2 0.2500 0.2500 0.2500 (multiplicity 4)
Bi1 0.0000 0.0000 0.5000 (multiplicity 4)
Te1 0.0000 0.0332 0.2375 (multiplicity 8)
Te2 0.2293 0.2500 0.0026 (multiplicity 8)

Results
Spin magnetization: 8.96 μB per formula unit
Formation energy from raw total energies: -97 meV per atom
D(E_F): 0.307 states/eV per atom
Electronic total energy: -141.86 eV for the cell shown

=====

5.
Below is a relaxed structure of MnBiTe2, with properties calculated at the GGA-PBE level.

a b c (Å): 6.8044 6.8044 11.0071
angles (deg): 90.00 90.00 90.00
Space group I-42d (No. 122)
Asymmetric unit:
Mn1 0.0000 0.0000 0.0000 (multiplicity 4)
Bi1 0.0000 0.0000 0.5000 (multiplicity 4)
Te1 0.1659 0.2500 0.1250 (multiplicity 8)

Results
Spin magnetization: 0.00 μB per formula unit
Formation energy from raw total energies: 361 meV per atom
D(E_F): 0.449 states/eV per atom
Electronic total energy: -71.56 eV for the cell shown

=====

6.
Below is a relaxed structure of MnBiTe, with properties calculated at the GGA-PBE level.

a b c (Å): 5.4931 4.1007 7.5778
angles (deg): 90.00 108.79 90.00
Space group P2_1/m (No. 11)
Asymmetric unit:
Mn1 0.1733 0.2500 0.3210 (multiplicity 2)
Bi1 0.2354 0.7500 0.0475 (multiplicity 2)
Te1 0.2831 0.7500 0.5793 (multiplicity 2)

Results
Spin magnetization: 3.57 μB per formula unit
Formation energy from raw total energies: 17 meV per atom
D(E_F): 0.534 states/eV per atom
Electronic total energy: -32.28 eV for the cell shown

=====

7.
Below is a relaxed structure of MnBiTe2, with properties calculated at the GGA-PBE level.

a b c (Å): 3.6696 3.6696 28.0797
angles (deg): 90.00 90.00 120.00
Space group R-3m (No. 166, hexagonal axes)
Asymmetric unit:
Mn1 0.0000 0.0000 0.0000 (multiplicity 3)
Bi1 0.0000 0.0000 0.5000 (multiplicity 3)
Te1 0.0000 0.0000 0.3859 (multiplicity 6)

Results
Spin magnetization: 0.00 μB per formula unit
Formation energy from raw total energies: 95 meV per atom
D(E_F): 1.779 states/eV per atom
Electronic total energy: -56.86 eV for the cell shown

=====

8.
Below is a relaxed structure of Mn2BiTe, with properties calculated at the GGA-PBE level.

a b c (Å): 6.5287 6.5287 6.5287
angles (deg): 90.00 90.00 90.00
Space group Fm-3m (No. 225)
Asymmetric unit:
Mn1 0.2500 0.2500 0.2500 (multiplicity 8)
Bi1 0.0000 0.0000 0.0000 (multiplicity 4)
Te1 0.0000 0.0000 0.5000 (multiplicity 4)

Results
Spin magnetization: 1.02 μB per formula unit
Formation energy from raw total energies: 744 meV per atom
D(E_F): 1.721 states/eV per atom
Energy above the lowest structure with this stoichiometry: 441 meV/atom
Electronic total energy: -89.55 eV for the cell shown

=====

9.
Below is a relaxed structure of Mn3BiTe, with properties calculated at the GGA-PBE level.

a b c (Å): 5.0292 5.0292 5.0292
angles (deg): 90.00 90.00 90.00
Space group Pm-3m (No. 221)
Asymmetric unit:
Mn1 0.0000 0.0000 0.5000 (multiplicity 3)
Bi1 0.5000 0.5000 0.5000 (multiplicity 1)
Te1 0.0000 0.0000 0.0000 (multiplicity 1)

Results
Spin magnetization: 11.73 μB per formula unit
Formation energy from raw total energies: 879 meV per atom
D(E_F): 1.809 states/eV per atom
Energy above the lowest structure with this stoichiometry: 0 meV/atom
Electronic total energy: -30.14 eV for the cell shown

=====

10.
Below is a relaxed structure of Mn5Bi3Te12, with properties calculated at the GGA-PBE level.

a b c (Å): 17.1479 17.1479 17.1479
angles (deg): 90.00 90.00 90.00
Space group Ia-3d (No. 230)
Asymmetric unit:
Mn1 0.0000 0.0000 0.0000 (multiplicity 16)
Mn2 0.0000 0.2500 0.3750 (multiplicity 24)
Bi1 0.0000 0.2500 0.1250 (multiplicity 24)
Te1 0.0281 0.0581 0.6472 (multiplicity 96)

Results
Spin magnetization: 20.06 μB per formula unit
Formation energy from raw total energies: -53 meV per atom
D(E_F): 0.389 states/eV per atom
Electronic total energy: -770.02 eV for the cell shown

=====

11.
Below is a relaxed structure of MnBiTe2, with properties calculated at the GGA-PBE level.

a b c (Å): 3.3097 3.3097 38.6578
angles (deg): 90.00 90.00 120.00
Space group R-3m (No. 166, hexagonal axes)
Asymmetric unit:
Mn1 0.0000 0.0000 0.0000 (multiplicity 3)
Bi1 0.0000 0.0000 0.5000 (multiplicity 3)
Te1 0.0000 0.0000 0.0676 (multiplicity 6)

Results
Spin magnetization: 3.57 μB per formula unit
Formation energy from raw total energies: 455 meV per atom
D(E_F): 0.762 states/eV per atom
Electronic total energy: -52.54 eV for the cell shown

=====

12.
Below is a relaxed structure of MnBi3Te, with properties calculated at the GGA-PBE level.

a b c (Å): 5.2254 5.2254 5.2254
angles (deg): 90.00 90.00 90.00
Space group Pm-3m (No. 221)
Asymmetric unit:
Mn1 0.0000 0.0000 0.0000 (multiplicity 1)
Bi1 0.0000 0.0000 0.5000 (multiplicity 3)
Te1 0.5000 0.5000 0.5000 (multiplicity 1)

Results
Spin magnetization: 1.51 μB per formula unit
Formation energy from raw total energies: 333 meV per atom
D(E_F): 0.618 states/eV per atom
Energy above the lowest structure with this stoichiometry: 0 meV/atom
Electronic total energy: -22.29 eV for the cell shown

=====

13.
Below is a relaxed structure of MnBiTe3, with properties calculated at the GGA-PBE level.

a b c (Å): 5.0875 5.0875 5.0875
angles (deg): 90.00 90.00 90.00
Space group Pm-3m (No. 221)
Asymmetric unit:
Mn1 0.0000 0.0000 0.0000 (multiplicity 1)
Bi1 0.5000 0.5000 0.5000 (multiplicity 1)
Te1 0.0000 0.0000 0.5000 (multiplicity 3)

Results
Spin magnetization: 0.00 μB per formula unit
Formation energy from raw total energies: 380 meV per atom
D(E_F): 1.537 states/eV per atom
Energy above the lowest structure with this stoichiometry: 476 meV/atom
Electronic total energy: -20.58 eV for the cell shown

=====

14.
Below is a relaxed structure of MnBiTe3, with properties calculated at the GGA-PBE level.

a b c (Å): 7.3105 7.3105 7.2950
angles (deg): 90.00 90.00 120.00
Space group P-31m (No. 162)
Asymmetric unit:
Mn1 0.3333 0.6667 0.0000 (multiplicity 2)
Bi1 0.0000 0.0000 0.2130 (multiplicity 2)
Te1 0.0000 0.4208 0.7770 (multiplicity 6)

Results
Spin magnetization: 3.01 μB per formula unit
Formation energy from raw total energies: -96 meV per atom
D(E_F): 0.150 states/eV per atom
Energy above the lowest structure with this stoichiometry: 0 meV/atom
Electronic total energy: -45.91 eV for the cell shown

=====

15.
Below is a relaxed structure of MnTlBiTe3, with properties calculated at the GGA-PBE level.

a b c (Å): 9.5528 4.5334 10.1720
angles (deg): 90.00 103.79 90.00
Space group P2_1/m (No. 11)
Asymmetric unit:
Mn1 0.0825 0.2500 0.0996 (multiplicity 2)
Tl1 0.1877 0.2500 0.7282 (multiplicity 2)
Bi1 0.3343 0.7500 0.3640 (multiplicity 2)
Te1 0.1045 0.2500 0.3703 (multiplicity 2)
Te2 0.2132 0.7500 0.0230 (multiplicity 2)
Te3 0.4431 0.7500 0.6699 (multiplicity 2)

Results
Spin magnetization: 5.01 μB per formula unit
Formation energy from raw total energies: -222 meV per atom
D(E_F): 0.012 states/eV per atom
Electronic total energy: -52.34 eV for the cell shown

=====

16.
Below is a relaxed structure of ThMnBi, with properties calculated at the GGA-PBE level.

a b c (Å): 3.8244 3.8244 12.5612
angles (deg): 90.00 90.00 120.00
Space group P-3m1 (No. 164)
Asymmetric unit:
Th1 0.0000 0.0000 0.1662 (multiplicity 2)
Mn1 0.3333 0.6667 0.9823 (multiplicity 2)
Bi1 0.3333 0.6667 0.3839 (multiplicity 2)

Results
E_form: -0.0342 eV per atom
Spin magnetization: 0.00 μB per formula unit
D(E_F): 1.254 states/eV per atom
Electronic total energy: -41.15 eV for the cell shown

=====

17.
Below is a relaxed structure of Th4MnBi2, with properties calculated at the GGA-PBE level.

a b c (Å): 6.3586 6.7417 9.7806
angles (deg): 90.00 101.27 90.00
Space group P2_1/m (No. 11)
Asymmetric unit:
Th1 0.1815 0.2500 0.0894 (multiplicity 2)
Th2 0.2497 0.5079 0.7424 (multiplicity 4)
Th3 0.2739 0.7500 0.3940 (multiplicity 2)
Mn1 0.0027 0.2500 0.8262 (multiplicity 2)
Bi1 0.1958 0.2500 0.4370 (multiplicity 2)
Bi2 0.3510 0.7500 0.0524 (multiplicity 2)

Results
E_form: -0.2610 eV per atom
Spin magnetization: 0.00 μB per formula unit
D(E_F): 0.763 states/eV per atom
Electronic total energy: -96.88 eV for the cell shown

=====

18.
Below is a relaxed structure of Th4Mn2Bi, with properties calculated at the GGA-PBE level.

a b c (Å): 4.4963 12.3087 13.3099
angles (deg): 90.00 90.00 90.00
Space group Cmcm (No. 63)
Asymmetric unit:
Th1 0.0000 0.0000 0.0000 (multiplicity 4)
Th2 0.0000 0.2728 0.1021 (multiplicity 8)
Th3 0.0000 0.4027 0.7500 (multiplicity 4)
Mn1 0.0000 0.3948 0.5487 (multiplicity 8)
Bi1 0.0000 0.1015 0.7500 (multiplicity 4)

Results
E_form: -0.1591 eV per atom
Spin magnetization: 0.00 μB per formula unit
D(E_F): 0.605 states/eV per atom
Electronic total energy: -212.05 eV for the cell shown

=====

19.
Below is a relaxed structure of Th3MnBi, with properties calculated at the GGA-PBE level.

a b c (Å): 5.2435 5.2435 5.2435
angles (deg): 90.00 90.00 90.00
Space group Pm-3m (No. 221)
Asymmetric unit:
Th1 0.0000 0.0000 0.5000 (multiplicity 3)
Mn1 0.0000 0.0000 0.0000 (multiplicity 1)
Bi1 0.5000 0.5000 0.5000 (multiplicity 1)

Results
E_form: -0.2024 eV per atom
Spin magnetization: 0.00 μB per formula unit
D(E_F): 1.035 states/eV per atom
Energy above the lowest structure with this stoichiometry: 49 meV/atom
Electronic total energy: -36.32 eV for the cell shown

=====

20.
Below is a relaxed structure of Th3MnBi, with properties calculated at the GGA-PBE level.

a b c (Å): 7.3120 15.5580 5.0216
angles (deg): 90.00 90.00 90.00
Space group Cmmm (No. 65)
Asymmetric unit:
Th1 0.0000 0.1241 0.0000 (multiplicity 4)
Th2 0.2291 0.5000 0.5000 (multiplicity 4)
Th3 0.2500 0.2500 0.5000 (multiplicity 4)
Mn1 0.0000 0.1371 0.5000 (multiplicity 4)
Bi1 0.0000 0.3673 0.0000 (multiplicity 4)

Results
E_form: -0.2517 eV per atom
Spin magnetization: 0.00 μB per formula unit
D(E_F): 0.629 states/eV per atom
Energy above the lowest structure with this stoichiometry: 0 meV/atom
Electronic total energy: -146.27 eV for the cell shown